# BaRePb2 (GGA-PBEsol, relaxed)
data_BaRePb2
_cell_length_a 4.6316
_cell_length_b 4.6316
_cell_length_c 18.4356
_cell_angle_alpha 90.00
_cell_angle_beta 90.00
_cell_angle_gamma 120.00
_space_group_name_H-M_alt 'R -3 m'
_space_group_IT_number 166
_space_group_name_Hall '-R 3 2"'
loop_
_atom_site_label
_atom_site_type_symbol
_atom_site_fract_x
_atom_site_fract_y
_atom_site_fract_z
Ba1 Ba 0.0000 0.0000 0.0000
Re1 Re 0.0000 0.0000 0.5000
Pb1 Pb 0.0000 0.0000 0.2171
# - E above lowest polymorph: 0.0 meV/atom
# - DOS(E_F): 0.7440 states/eV/atom
# - Calculated density: 10.7 g cm⁻³


# InAu3O (GGA-PBEsol, relaxed)
data_InAu3O
_cell_length_a 5.1054
_cell_length_b 5.1054
_cell_length_c 5.1054
_cell_angle_alpha 90.00
_cell_angle_beta 90.00
_cell_angle_gamma 90.00
_space_group_name_H-M_alt 'P m -3 m'
_space_group_IT_number 221
_space_group_name_Hall '-P 4 2 3'
loop_
_atom_site_label
_atom_site_type_symbol
_atom_site_fract_x
_atom_site_fract_y
_atom_site_fract_z
In1 In 0.0000 0.0000 0.0000
Au1 Au 0.0000 0.0000 0.5000
O1 O 0.5000 0.5000 0.5000
# - DOS(E_F): 0.9490 states/eV/atom
# - Raw formation energy: 1.293 eV/atom
# - Calculated density: 9.0 g cm⁻³


# TaRhSCl2 (GGA-PBEsol, relaxed)
data_TaRhSCl2
_cell_length_a 4.5317
_cell_length_b 4.5317
_cell_length_c 4.6584
_cell_angle_alpha 90.00
_cell_angle_beta 90.00
_cell_angle_gamma 90.00
_space_group_name_H-M_alt 'P 4/m m m'
_space_group_IT_number 123
_space_group_name_Hall '-P 4 2'
loop_
_atom_site_label
_atom_site_type_symbol
_atom_site_fract_x
_atom_site_fract_y
_atom_site_fract_z
Ta1 Ta 0.0000 0.0000 0.0000
Rh1 Rh 0.5000 0.5000 0.5000
S1 S 0.5000 0.5000 0.0000
Cl1 Cl 0.0000 0.5000 0.5000
# - DOS(E_F): 0.8298 states/eV/atom
# - Raw formation energy: 0.669 eV/atom
# - Calculated density: 6.7 g cm⁻³


# CoF3 (GGA-PBEsol, relaxed)
data_CoF3
_cell_length_a 5.3074
_cell_length_b 5.3074
_cell_length_c 6.4845
_cell_angle_alpha 90.00
_cell_angle_beta 90.00
_cell_angle_gamma 120.00
_space_group_name_H-M_alt 'R -3 m'
_space_group_IT_number 166
_space_group_name_Hall '-R 3 2"'
loop_
_atom_site_label
_atom_site_type_symbol
_atom_site_fract_x
_atom_site_fract_y
_atom_site_fract_z
Co1 Co 0.0000 0.0000 0.0000
F1 F 0.0000 0.5000 0.5000
# - DOS(E_F): 1.0399 states/eV/atom
# - Raw formation energy: -1.689 eV/atom
# - Calculated density: 3.7 g cm⁻³


# Na2TmMoPO8 (GGA-PBEsol, relaxed)
data_Na2TmMoPO8
_cell_length_a 6.7820
_cell_length_b 11.9171
_cell_length_c 17.9518
_cell_angle_alpha 90.00
_cell_angle_beta 90.00
_cell_angle_gamma 90.00
_space_group_name_H-M_alt 'I b c a'
_space_group_IT_number 73
_space_group_name_Hall '-I 2b 2c'
loop_
_atom_site_label
_atom_site_type_symbol
_atom_site_fract_x
_atom_site_fract_y
_atom_site_fract_z
Na1 Na 0.0082 0.0581 0.1540
Tm1 Tm 0.2500 0.1800 0.5000
Mo1 Mo 0.0000 0.2500 0.3243
P1 P 0.2500 0.0670 0.0000
O1 O 0.0367 0.1294 0.7704
O2 O 0.0724 0.1486 0.0069
O3 O 0.2135 0.2286 0.3806
O4 O 0.2408 0.0105 0.5686
# - DOS(E_F): 0.0000 states/eV/atom
# - Raw formation energy: -2.535 eV/atom
# - Calculated density: 4.3 g cm⁻³


# SrP2Se (GGA-PBEsol, relaxed)
data_SrP2Se
_cell_length_a 6.9589
_cell_length_b 6.9589
_cell_length_c 6.9589
_cell_angle_alpha 90.00
_cell_angle_beta 90.00
_cell_angle_gamma 90.00
_space_group_name_H-M_alt 'F -4 3 m'
_space_group_IT_number 216
_space_group_name_Hall 'F -4 2 3'
loop_
_atom_site_label
_atom_site_type_symbol
_atom_site_fract_x
_atom_site_fract_y
_atom_site_fract_z
Sr1 Sr 0.0000 0.0000 0.0000
P1 P 0.0000 0.0000 0.5000
P2 P 0.2500 0.2500 0.2500
Se1 Se 0.2500 0.2500 0.7500
# - DOS(E_F): 0.4613 states/eV/atom
# - Raw formation energy: -0.074 eV/atom
# - Calculated density: 4.5 g cm⁻³